[1]
# Sr2InFeBi | Alexandria | PBE | optimized geometry
# E_tot = -3.296 eV/atom
# Calculated density = 4.768 Mg/m³
# Size of the total moment = 0.1 μB per formula unit
# Space-group type = No. 123
# Formation enthalpy at 0 K = 0.393 eV/atom
data_Sr2InFeBi
_cell_length_a 6.336
_cell_length_b 6.336
_cell_length_c 4.814
_cell_angle_alpha 90.00
_cell_angle_beta 90.00
_cell_angle_gamma 90.00
_symmetry_space_group_name_H-M 'P 1'
_symmetry_Int_Tables_number 1
loop_
_symmetry_equiv_pos_as_xyz
'x,y,z'
loop_
_atom_site_label
_atom_site_fract_x
_atom_site_fract_y
_atom_site_fract_z
_atom_site_occupancy
Sr1 0.000 0.500 0.000 1
Sr2 0.500 0.000 0.000 1
In1 0.000 0.000 0.500 1
Fe1 0.500 0.500 0.500 1
Bi1 0.500 0.500 0.000 1

---

[2]
# TaInFe2Bi | Alexandria | PBE | optimized geometry
# E_tot = -5.679 eV/atom
# Calculated density = 8.655 Mg/m³
# Size of the total moment = 0.2 μB per formula unit
# Space-group type = No. 123
# Formation enthalpy at 0 K = 1.401 eV/atom
data_TaInFe2Bi
_cell_length_a 4.624
_cell_length_b 4.624
_cell_length_c 5.532
_cell_angle_alpha 90.00
_cell_angle_beta 90.00
_cell_angle_gamma 90.00
_symmetry_space_group_name_H-M 'P 1'
_symmetry_Int_Tables_number 1
loop_
_symmetry_equiv_pos_as_xyz
'x,y,z'
loop_
_atom_site_label
_atom_site_fract_x
_atom_site_fract_y
_atom_site_fract_z
_atom_site_occupancy
Ta1 0.000 0.000 0.000 1
In1 0.500 0.500 0.500 1
Fe1 0.000 0.500 0.000 1
Fe2 0.500 0.000 0.000 1
Bi1 0.000 0.000 0.500 1

---

[3]
# InFe2TcBi | Alexandria | PBE | optimized geometry
# E_tot = -4.827 eV/atom
# Calculated density = 7.165 Mg/m³
# Size of the total moment = 8.9 μB per formula unit
# Space-group type = No. 123
# Formation enthalpy at 0 K = 1.955 eV/atom
data_InFe2TcBi
_cell_length_a 4.779
_cell_length_b 4.779
_cell_length_c 5.413
_cell_angle_alpha 90.00
_cell_angle_beta 90.00
_cell_angle_gamma 90.00
_symmetry_space_group_name_H-M 'P 1'
_symmetry_Int_Tables_number 1
loop_
_symmetry_equiv_pos_as_xyz
'x,y,z'
loop_
_atom_site_label
_atom_site_fract_x
_atom_site_fract_y
_atom_site_fract_z
_atom_site_occupancy
In1 0.000 0.000 0.000 1
Fe1 0.000 0.500 0.500 1
Fe2 0.500 0.000 0.500 1
Tc1 0.500 0.500 0.000 1
Bi1 0.000 0.000 0.500 1

---

[4]
# TlIn2FeBi | Alexandria | PBE | optimized geometry
# E_tot = -3.245 eV/atom
# Calculated density = 6.649 Mg/m³
# Size of the total moment = 2.4 μB per formula unit
# Space-group type = No. 123
# Formation enthalpy at 0 K = 0.792 eV/atom
data_TlIn2FeBi
_cell_length_a 5.982
_cell_length_b 5.982
_cell_length_c 4.877
_cell_angle_alpha 90.00
_cell_angle_beta 90.00
_cell_angle_gamma 90.00
_symmetry_space_group_name_H-M 'P 1'
_symmetry_Int_Tables_number 1
loop_
_symmetry_equiv_pos_as_xyz
'x,y,z'
loop_
_atom_site_label
_atom_site_fract_x
_atom_site_fract_y
_atom_site_fract_z
_atom_site_occupancy
Tl1 0.000 0.000 0.000 1
In1 0.000 0.500 0.500 1
In2 0.500 0.000 0.500 1
Fe1 0.500 0.500 0.000 1
Bi1 0.500 0.500 0.500 1

---

[5]
# Tl2InFeBi | Alexandria | PBE | optimized geometry
# E_tot = -3.167 eV/atom
# Calculated density = 6.954 Mg/m³
# Size of the total moment = 2.3 μB per formula unit
# Space-group type = No. 123
# Formation enthalpy at 0 K = 0.796 eV/atom
data_Tl2InFeBi
_cell_length_a 6.161
_cell_length_b 6.161
_cell_length_c 4.960
_cell_angle_alpha 90.00
_cell_angle_beta 90.00
_cell_angle_gamma 90.00
_symmetry_space_group_name_H-M 'P 1'
_symmetry_Int_Tables_number 1
loop_
_symmetry_equiv_pos_as_xyz
'x,y,z'
loop_
_atom_site_label
_atom_site_fract_x
_atom_site_fract_y
_atom_site_fract_z
_atom_site_occupancy
Tl1 0.000 0.500 0.000 1
Tl2 0.500 0.000 0.000 1
In1 0.000 0.000 0.500 1
Fe1 0.500 0.500 0.500 1
Bi1 0.500 0.500 0.000 1

---

[6]
# TlInFeBi2 | Alexandria | PBE | optimized geometry
# E_tot = -3.126 eV/atom
# Calculated density = 7.007 Mg/m³
# Size of the total moment = 3.5 μB per formula unit
# Space-group type = No. 123
# Formation enthalpy at 0 K = 1.140 eV/atom
data_TlInFeBi2
_cell_length_a 5.788
_cell_length_b 5.788
_cell_length_c 5.610
_cell_angle_alpha 90.00
_cell_angle_beta 90.00
_cell_angle_gamma 90.00
_symmetry_space_group_name_H-M 'P 1'
_symmetry_Int_Tables_number 1
loop_
_symmetry_equiv_pos_as_xyz
'x,y,z'
loop_
_atom_site_label
_atom_site_fract_x
_atom_site_fract_y
_atom_site_fract_z
_atom_site_occupancy
Tl1 0.000 0.000 0.000 1
In1 0.000 0.000 0.500 1
Fe1 0.500 0.500 0.000 1
Bi1 0.000 0.500 0.500 1
Bi2 0.500 0.000 0.500 1

---

[7]
# FeBiIr2 | Alexandria | PBE | optimized geometry
# E_tot = -6.904 eV/atom
# Calculated density = 14.500 Mg/m³
# Size of the total moment = 3.3 μB per formula unit
# Space-group type = No. 122
# Formation enthalpy at 0 K = 0.612 eV/atom
data_FeBiIr2
_cell_length_a 9.336
_cell_length_b 9.336
_cell_length_c 9.336
_cell_angle_alpha 154.67
_cell_angle_beta 154.67
_cell_angle_gamma 36.12
_symmetry_space_group_name_H-M 'P 1'
_symmetry_Int_Tables_number 1
loop_
_symmetry_equiv_pos_as_xyz
'x,y,z'
loop_
_atom_site_label
_atom_site_fract_x
_atom_site_fract_y
_atom_site_fract_z
_atom_site_occupancy
Fe1 0.000 0.000 0.000 1
Fe2 0.750 0.250 0.500 1
Bi1 0.250 0.750 0.500 1
Bi2 0.500 0.500 0.000 1
Ir1 0.072 0.625 0.947 1
Ir2 0.375 0.322 0.447 1
Ir3 0.678 0.125 0.053 1
Ir4 0.875 0.928 0.553 1

---

[8]
# FeBi2Ir | Alexandria | PBE | optimized geometry
# E_tot = -5.473 eV/atom
# Calculated density = 9.747 Mg/m³
# Size of the total moment = 2.4 μB per formula unit
# Space-group type = No. 122
# Formation enthalpy at 0 K = 0.798 eV/atom
data_FeBi2Ir
_cell_length_a 7.182
_cell_length_b 7.182
_cell_length_c 7.182
_cell_angle_alpha 127.35
_cell_angle_beta 127.35
_cell_angle_gamma 77.68
_symmetry_space_group_name_H-M 'P 1'
_symmetry_Int_Tables_number 1
loop_
_symmetry_equiv_pos_as_xyz
'x,y,z'
loop_
_atom_site_label
_atom_site_fract_x
_atom_site_fract_y
_atom_site_fract_z
_atom_site_occupancy
Fe1 0.000 0.000 0.000 1
Fe2 0.750 0.250 0.500 1
Bi1 0.124 0.625 0.999 1
Bi2 0.375 0.374 0.499 1
Bi3 0.626 0.125 0.001 1
Bi4 0.875 0.876 0.501 1
Ir1 0.250 0.750 0.500 1
Ir2 0.500 0.500 0.000 1